An optimized crystal structure of Li2DyMgCd4. Source: Alexandria via LeMat-Bulk, functional PBE.

The value obtained for the energy of formation is -1.62 eV/f.u.

The space group is R-3m (No. 166, hexagonal axes) and the conventional cell measures 4.8091, 4.8091 and 26.1361 Å, with angles of 90.00, 90.00 and 120.00 degrees. The distinct sites, in fractional coordinates, are Li at (0.0000, 0.0000, 0.2435), Dy at (0.0000, 0.0000, 0.0000), Mg at (0.0000, 0.0000, 0.5000), Cd at (0.0000, 0.0000, 0.1233) and Cd at (0.0000, 0.0000, 0.3877).

---

An optimized crystal structure of LiZnBiPd. Source: Alexandria via LeMat-Bulk, functional PBE.

The value obtained for the energy of formation is -1.21 eV/f.u.

The space group is F-43m (No. 216) and the conventional cell measures 6.624, 6.624 and 6.624 Å, with angles of 90.00, 90.00 and 90.00 degrees. The distinct sites, in fractional coordinates, are Li at (0.000, 0.000, 0.000), Zn at (0.250, 0.250, 0.750), Bi at (0.250, 0.250, 0.250) and Pd at (0.000, 0.000, 0.500).

---

An optimized crystal structure of Pr2AsHPd6. Source: Alexandria via LeMat-Bulk, functional PBE.

For the total DFT energy (no corrections), the calculation gives -55.35 eV per cell.

The space group is P-1 (No. 2) and the conventional cell measures 5.794, 5.803 and 6.920 Å, with angles of 65.25, 89.95 and 60.17 degrees. The distinct sites, in fractional coordinates, are Pr at (0.228, 0.049, 0.179), As at (0.500, 0.500, 0.000), H at (0.000, 0.500, 0.500), Pd at (0.226, 0.043, 0.686), Pd at (0.228, 0.537, 0.690) and Pd at (0.271, 0.461, 0.314).

---

An optimized crystal structure of Mg5Br3. Source: Alexandria via LeMat-Bulk, functional PBE.

For the total DFT energy (no corrections), the calculation gives -31.73 eV per cell.

The space group is Cmmm (No. 65) and the conventional cell measures 9.234, 12.495 and 3.628 Å, with angles of 90.00, 90.00 and 90.00 degrees. The distinct sites, in fractional coordinates, are Mg at (0.000, 0.000, 0.000), Mg at (0.231, 0.500, 0.500), Mg at (0.250, 0.250, 0.000), Br at (0.000, 0.245, 0.500) and Br at (0.000, 0.500, 0.000).

---

An optimized crystal structure of PmDyBr6. Source: Alexandria via LeMat-Bulk, functional PBE.

For the total DFT energy (no corrections), the calculation gives -68.25 eV per cell.

The space group is C2/m (No. 12) and the conventional cell measures 7.059, 13.604 and 7.061 Å, with angles of 90.00, 106.91 and 90.00 degrees. The distinct sites, in fractional coordinates, are Pm at (0.000, 0.000, 0.000), Dy at (0.000, 0.500, 0.500), Br at (0.243, 0.358, 0.744) and Br at (0.247, 0.500, 0.254).

---

An optimized crystal structure of Al2BrCl. Source: Alexandria via LeMat-Bulk, functional PBE.

For the total DFT energy (no corrections), the calculation gives -12.43 eV per cell.

The space group is P4mm (No. 99) and the conventional cell measures 3.254, 3.254 and 8.809 Å, with angles of 90.00, 90.00 and 90.00 degrees. The distinct sites, in fractional coordinates, are Al at (0.000, 0.000, 0.000), Al at (0.500, 0.500, 0.196), Br at (0.000, 0.000, 0.385) and Cl at (0.500, 0.500, 0.823).

---

An optimized crystal structure of LiInTcSn. Source: Alexandria via LeMat-Bulk, functional PBE.

The value obtained for the energy of formation is 0.12 eV/f.u.

The space group is F-43m (No. 216) and the conventional cell measures 6.584, 6.584 and 6.584 Å, with angles of 90.00, 90.00 and 90.00 degrees. The distinct sites, in fractional coordinates, are Li at (0.000, 0.000, 0.000), In at (0.250, 0.250, 0.250), Tc at (0.000, 0.000, 0.500) and Sn at (0.250, 0.250, 0.750).

---

An optimized crystal structure of CaP. Source: Alexandria via LeMat-Bulk, functional PBE.

The value obtained for the energy of formation is -0.48 eV/f.u.

The space group is F-43m (No. 216) and the conventional cell measures 6.543, 6.543 and 6.543 Å, with angles of 90.00, 90.00 and 90.00 degrees. The distinct sites, in fractional coordinates, are Ca at (0.000, 0.000, 0.000) and P at (0.250, 0.250, 0.250).

---

An optimized crystal structure of HoCd8Hg6. Source: Alexandria via LeMat-Bulk, functional PBE.

The value obtained for the energy of formation is -0.52 eV/f.u.

The space group is R-3m (No. 166, hexagonal axes) and the conventional cell measures 8.2904, 8.2904 and 18.8312 Å, with angles of 90.00, 90.00 and 120.00 degrees. The distinct sites, in fractional coordinates, are Ho at (0.0000, 0.0000, 0.0000), Cd at (0.0000, 0.0000, 0.4210), Cd at (0.0782, 0.5391, 0.8117) and Hg at (0.0797, 0.5398, 0.3775).

---

An optimized crystal structure of Sr3Ho3TmSe8. Source: Alexandria via LeMat-Bulk, functional PBE.

For the total DFT energy (no corrections), the calculation gives -239.75 eV per cell.

The space group is R-3m (No. 166, hexagonal axes) and the conventional cell measures 8.2823, 8.2823 and 21.3843 Å, with angles of 90.00, 90.00 and 120.00 degrees. The distinct sites, in fractional coordinates, are Sr at (0.0000, 0.5000, 0.0000), Ho at (0.0000, 0.5000, 0.5000), Tm at (0.0000, 0.0000, 0.5000), Se at (0.0000, 0.0000, 0.2430) and Se at (0.0007, 0.5003, 0.2416).

---

An optimized crystal structure of KLi2La. Source: Alexandria via LeMat-Bulk, functional PBE.

The value obtained for the energy of formation is 0.80 eV/f.u.

The space group is P4mm (No. 99) and the conventional cell measures 3.717, 3.717 and 9.880 Å, with angles of 90.00, 90.00 and 90.00 degrees. The distinct sites, in fractional coordinates, are K at (0.000, 0.000, 0.000), Li at (0.000, 0.000, 0.581), Li at (0.500, 0.500, 0.708) and La at (0.500, 0.500, 0.360).

---

An optimized crystal structure of Sc3SbC. Source: Alexandria via LeMat-Bulk, functional PBE.

For the total DFT energy (no corrections), the calculation gives -552.88 eV per cell.

The space group is Fd-3m (No. 227, origin choice 2) and the conventional cell measures 12.003, 12.003 and 12.003 Å, with angles of 90.00, 90.00 and 90.00 degrees. The distinct sites, in fractional coordinates, are Sc at (0.072, 0.375, 0.375), Sb at (0.000, 0.000, 0.500) and C at (0.000, 0.000, 0.000).